Computed, not measured: a geometry-optimized KAsWC2 structure at the PBE-GGA level of DFT.

Computed properties:
* SG: P4/mmm
* ΔE_f: 3219.5 meV per atom

Cell: 4.2266 4.2266 5.4706 Å, 90.00 90.00 90.00°
Sites, in units of the cell vectors:
1 K 0.0000 0.0000 0.0000
2 As 0.0000 0.0000 0.5000
3 W 0.5000 0.5000 0.0000
4 C 0.0000 0.5000 0.5000
5 C 0.5000 0.0000 0.5000


Computed, not measured: a geometry-optimized YZr4Pt structure at the PBE-GGA level of DFT.

Computed properties:
* SG: F-43m
* ΔE_f: 126.4 meV per atom

Cell: 5.7893 5.7893 5.7893 Å, 60.00 60.00 60.00°
Sites, in units of the cell vectors:
1 Y 0.0000 0.0000 0.0000
2 Zr 0.1244 0.6252 0.6252
3 Zr 0.6252 0.1244 0.6252
4 Zr 0.6252 0.6252 0.1244
5 Zr 0.6252 0.6252 0.6252
6 Pt 0.2500 0.2500 0.2500


Computed, not measured: a geometry-optimized Ba2ZrIn structure at the PBE-GGA level of DFT.

Computed properties:
* SG: R-3m
* ΔE_f: 360.4 meV per atom

Cell: 12.0417 12.0417 12.0417 Å, 17.91 17.91 17.91°
Sites, in units of the cell vectors:
1 Ba 0.2504 0.2504 0.2504
2 Ba 0.7496 0.7496 0.7496
3 Zr 0.0000 0.0000 0.0000
4 In 0.5000 0.5000 0.5000


Computed, not measured: a geometry-optimized CeBi2P2Rh7 structure at the PBE-GGA level of DFT.

Computed properties:
* SG: C2/m
* ΔE_f: -456.1 meV per atom

Cell: 4.0453 4.0453 13.3527 Å, 96.18 96.18 89.67°
Sites, in units of the cell vectors:
1 Ce 0.0000 0.0000 0.0000
2 Bi 0.1046 0.1046 0.3824
3 Bi 0.8954 0.8954 0.6176
4 P 0.4138 0.4138 0.7542
5 P 0.5862 0.5862 0.2458
6 Rh 0.0581 0.5587 0.1631
7 Rh 0.3774 0.3774 0.5794
8 Rh 0.4413 0.9419 0.8369
9 Rh 0.5000 0.5000 0.0000
10 Rh 0.5587 0.0581 0.1631
11 Rh 0.6226 0.6226 0.4206
12 Rh 0.9419 0.4413 0.8369


Computed, not measured: a geometry-optimized TbNpBi2 structure at the PBE-GGA level of DFT.

Computed properties:
* SG: P4/mmm
* ΔE_f: -212.7 meV per atom
* energy above the most stable polymorph in this dataset: 163 meV/atom

Cell: 5.3669 5.3669 4.0344 Å, 90.00 90.00 90.00°
Sites, in units of the cell vectors:
1 Tb 0.0000 0.0000 0.0000
2 Np 0.5000 0.5000 0.0000
3 Bi 0.0000 0.5000 0.5000
4 Bi 0.5000 0.0000 0.5000


Computed, not measured: a geometry-optimized BaCaGe3 structure at the PBE-GGA level of DFT.

Computed properties:
* SG: Cmmm
* ΔE_f: -457.6 meV per atom
* energy above the most stable polymorph in this dataset: 85 meV/atom

Cell: 7.7150 7.7150 4.8031 Å, 90.00 90.00 110.61°
Sites, in units of the cell vectors:
1 Ba 0.0000 0.0000 0.0000
2 Ba 0.5000 0.5000 0.0000
3 Ca 0.0000 0.5000 0.0000
4 Ca 0.5000 0.0000 0.0000
5 Ge 0.1477 0.3521 0.5000
6 Ge 0.2494 0.7506 0.5000
7 Ge 0.3521 0.1477 0.5000
8 Ge 0.6479 0.8523 0.5000
9 Ge 0.7506 0.2494 0.5000
10 Ge 0.8523 0.6479 0.5000


Computed, not measured: a geometry-optimized Rb3Ho2Cl9 structure at the PBE-GGA level of DFT.

Computed properties:
* SG: R-3c
* energy relative to the elements, uncorrected: -2.177 eV/atom

Cell: 9.7427 9.7427 9.7427 Å, 84.03 84.03 84.03°
Sites, in units of the cell vectors:
1 Rb 0.0835 0.4165 0.7500
2 Rb 0.2500 0.9165 0.5835
3 Rb 0.4165 0.7500 0.0835
4 Rb 0.5835 0.2500 0.9165
5 Rb 0.7500 0.0835 0.4165
6 Rb 0.9165 0.5835 0.2500
7 Ho 0.1490 0.1490 0.1490
8 Ho 0.3510 0.3510 0.3510
9 Ho 0.6490 0.6490 0.6490
10 Ho 0.8510 0.8510 0.8510
11 Cl 0.0782 0.9186 0.2690
12 Cl 0.0814 0.7310 0.9218
13 Cl 0.0967 0.2500 0.4033
14 Cl 0.2310 0.5814 0.4218
15 Cl 0.2500 0.4033 0.0967
16 Cl 0.2690 0.0782 0.9186
17 Cl 0.4033 0.0967 0.2500
18 Cl 0.4186 0.5782 0.7690
19 Cl 0.4218 0.2310 0.5814
20 Cl 0.5782 0.7690 0.4186
21 Cl 0.5814 0.4218 0.2310
22 Cl 0.5967 0.9033 0.7500
23 Cl 0.7310 0.9218 0.0814
24 Cl 0.7500 0.5967 0.9033
25 Cl 0.7690 0.4186 0.5782
26 Cl 0.9033 0.7500 0.5967
27 Cl 0.9186 0.2690 0.0782
28 Cl 0.9218 0.0814 0.7310


Computed, not measured: a geometry-optimized Pm2PuP structure at the PBE-GGA level of DFT.

Computed properties:
* SG: P4/mmm
* ΔE_f: -349.9 meV per atom
* energy above the most stable polymorph in this dataset: 183 meV/atom

Cell: 4.7212 4.7212 4.3806 Å, 90.00 90.00 90.00°
Sites, in units of the cell vectors:
1 Pm 0.0000 0.5000 0.0000
2 Pm 0.5000 0.0000 0.0000
3 Pu 0.0000 0.0000 0.5000
4 P 0.5000 0.5000 0.5000


Number 1: total moment 0.78 μB/atom. Number 2: total moment 0.00 μB/atom. Number 3: total moment 0.00 μB/atom. Number 4: total moment 0.00 μB/atom. Number 5: total moment 1.19 μB/atom. Number 6: total moment 0.00 μB/atom. Number 7: total moment 0.00 μB/atom. Number 8: total moment 1.57 μB/atom.